Here is a relaxed structure of Tb8CoRu2 from Alexandria via LeMat-Bulk. Energies are from PBE.

Output
SG	C2/m (12)
N(E_F)	0.9759	states/eV per atom
energy above the lowest structure with this stoichiometry	0	meV per atom
mass density	9.23	Mg/m³
VASP energy	-64.71	eV per cell
ΔH_f (0 K)	-183	meV per atom

abc: 9.0452 9.0452 6.8227
angles: 106.09 106.09 31.06
Atoms (fractional coordinates):
Tb 0.0302 0.0302 0.2934
Tb 0.2052 0.2052 0.8143
Tb 0.3339 0.3339 0.5342
Tb 0.4051 0.4051 0.0488
Tb 0.5949 0.5949 0.9512
Tb 0.6661 0.6661 0.4658
Tb 0.7948 0.7948 0.1857
Tb 0.9698 0.9698 0.7066
Co 0.5000 0.5000 0.5000
Ru 0.1854 0.1854 0.2025
Ru 0.8146 0.8146 0.7975